First-principles (PBE-GGA) data for an optimized crystal structure of CeH6PdPt2, as listed in Alexandria.

The space group is R-3m (No. 166, hexagonal axes) and the conventional cell measures 4.8169, 4.8169 and 14.7874 Å, with angles of 90.00, 90.00 and 120.00 degrees. Symmetry generates all atoms from Ce at (0.0000, 0.0000, 0.0000), H at (0.0265, 0.5132, 0.0692), Pd at (0.0000, 0.0000, 0.5000) and Pt at (0.0000, 0.0000, 0.2134).

Its volume is 99.0 Å³/f.u. For the magnetization, the calculation gives 0.6 μB/f.u. The value obtained for the electronic total energy is -4.652 eV/atom.

First-principles (PBE-GGA) data for an optimized crystal structure of CaPmI5, as listed in Alexandria.

The space group is P2_1/m (No. 11) and the conventional cell measures 9.4409, 4.4451 and 15.1139 Å, with angles of 90.00, 95.29 and 90.00 degrees. Symmetry generates all atoms from Ca at (0.0889, 0.2500, 0.1352), Pm at (0.4100, 0.7500, 0.3458), I at (0.0776, 0.7500, 0.3105), I at (0.1381, 0.2500, 0.9271), I at (0.3225, 0.2500, 0.4835), I at (0.3435, 0.7500, 0.1347) and I at (0.3818, 0.7500, 0.7057).

Its volume is 315.8 Å³/f.u. For the magnetization, the calculation gives 0.0 μB/f.u. The value obtained for the electronic total energy is -3.523 eV/atom.

Which value of electronic total energy does entry 2 give? -3.523 eV/atom